Li2NiIr, optimized geometry, DFT PBE-GGA; raw total energy = -0.170 Ha/atom; volume = 51 Å³ per cell; E_form = -0.05 eV/f.u.; energy above the most stable polymorph in this dataset = 162.4 meV/atom; density of states at the Fermi level = 4.2 states/eV/f.u.
1.0
2.5161 -4.0853 0.0000
2.5161 4.0853 0.0000
0.0000 0.0000 2.5035
Li Ni Ir
2 1 1
Direct
0.0000 0.5000 0.0000 Li
0.5000 0.0000 0.0000 Li
0.0000 0.0000 0.5000 Ni
0.5000 0.5000 0.5000 Ir